# 1
Here is a geometry-optimized BaPtCl2 structure from Alexandria. Energies are from GGA-PBE.

It has space group F-43m (No. 216), with a = 7.3788 Å, b = 7.3788 Å, c = 7.3788 Å, α = 90.00°, β = 90.00° and γ = 90.00°. The inequivalent atoms are Ba at (0.0000, 0.0000, 0.0000), Pt at (0.2500, 0.2500, 0.7500), Cl at (0.0000, 0.0000, 0.5000) and Cl at (0.2500, 0.2500, 0.2500).

As for the polymorph energy (0 for the lowest one): 650 meV/atom. The size of the total moment comes out at 0.000 μB/atom. As for the uncorrected formation energy: -0.664 eV/atom. The volume is 100.4 Å³/f.u.

---

# 2
Here is a geometry-optimized BaPtCl2 structure from Alexandria. Energies are from GGA-PBE.

It has space group P2/m (No. 10), with a = 5.0157 Å, b = 4.3425 Å, c = 5.0449 Å, α = 90.00°, β = 97.09° and γ = 90.00°. The inequivalent atoms are Ba at (0.0000, 0.0000, 0.0000), Pt at (0.5000, 0.0000, 0.5000) and Cl at (0.2938, 0.5000, 0.7071).

As for the polymorph energy (0 for the lowest one): 350 meV/atom. The size of the total moment comes out at 0.000 μB/atom. As for the uncorrected formation energy: -0.964 eV/atom. The volume is 109.0 Å³/f.u.

---

# 3
Here is a geometry-optimized BaPt2Cl8 structure from Alexandria. Energies are from GGA-PBE.

It has space group C2/m (No. 12), with a = 12.6780 Å, b = 10.3894 Å, c = 4.8312 Å, α = 90.00°, β = 112.32° and γ = 90.00°. The inequivalent atoms are Ba at (0.0000, 0.0000, 0.0000), Pt at (0.1140, 0.5000, 0.1149), Cl at (0.1320, 0.2785, 0.1331), Cl at (0.1479, 0.5000, 0.6490) and Cl at (0.1656, 0.0000, 0.6651).

The size of the total moment comes out at 0.048 μB/atom. As for the uncorrected formation energy: -0.803 eV/atom. The volume is 294.3 Å³/f.u.

---

# 4
Here is a geometry-optimized BaPtCl4 structure from Alexandria. Energies are from GGA-PBE.

It has space group I-4 (No. 82), with a = 7.1349 Å, b = 7.1349 Å, c = 7.8855 Å, α = 90.00°, β = 90.00° and γ = 90.00°. The inequivalent atoms are Ba at (0.0000, 0.0000, 0.0000), Pt at (0.0000, 0.5000, 0.7500) and Cl at (0.2294, 0.7309, 0.7493).

As for the polymorph energy (0 for the lowest one): 0 meV/atom. The size of the total moment comes out at 0.000 μB/atom. As for the uncorrected formation energy: -1.456 eV/atom. The volume is 200.7 Å³/f.u.

---

# 5
Here is a geometry-optimized Ba4PtCl5 structure from Alexandria. Energies are from GGA-PBE.

It has space group C2/m (No. 12), with a = 20.0315 Å, b = 4.7309 Å, c = 8.5812 Å, α = 90.00°, β = 115.31° and γ = 90.00°. The inequivalent atoms are Ba at (0.9999, 0.0000, 0.2424), Ba at (0.1900, 0.5000, 0.1903), Pt at (0.0000, 0.5000, 0.0000), Cl at (0.0000, 0.5000, 0.5000), Cl at (0.1737, 0.0000, 0.4190) and Cl at (0.1739, 0.0000, 0.9295).

The size of the total moment comes out at 0.099 μB/atom. As for the uncorrected formation energy: -2.016 eV/atom. The volume is 367.6 Å³/f.u.

---

# 6
Here is a geometry-optimized BaPt2Cl structure from Alexandria. Energies are from GGA-PBE.

It has space group I-42d (No. 122), with a = 4.4136 Å, b = 4.4136 Å, c = 24.8821 Å, α = 90.00°, β = 90.00° and γ = 90.00°. The inequivalent atoms are Ba at (0.0000, 0.0000, 0.0000), Pt at (0.1194, 0.2500, 0.1250) and Cl at (0.0000, 0.0000, 0.5000).

As for the polymorph energy (0 for the lowest one): 215 meV/atom. The size of the total moment comes out at 0.092 μB/atom. As for the uncorrected formation energy: -0.546 eV/atom. The volume is 121.2 Å³/f.u.

---

# 7
Here is a geometry-optimized BaPtCl4 structure from Alexandria. Energies are from GGA-PBE.

It has space group F-43m (No. 216), with a = 8.5102 Å, b = 8.5102 Å, c = 8.5102 Å, α = 90.00°, β = 90.00° and γ = 90.00°. The inequivalent atoms are Ba at (0.0000, 0.0000, 0.0000), Pt at (0.2500, 0.2500, 0.2500) and Cl at (0.1247, 0.1247, 0.6247).

As for the polymorph energy (0 for the lowest one): 1347 meV/atom. The size of the total moment comes out at 0.366 μB/atom. As for the uncorrected formation energy: -0.109 eV/atom. The volume is 154.1 Å³/f.u.

---

# 8
Here is a geometry-optimized Ba8Pt3Cl structure from Alexandria. Energies are from GGA-PBE.

It has space group R-3m (No. 166, hexagonal axes), with a = 9.3288 Å, b = 9.3288 Å, c = 22.5181 Å, α = 90.00°, β = 90.00° and γ = 120.00°. The inequivalent atoms are Ba at (0.0000, 0.0000, 0.2426), Ba at (0.0159, 0.5080, 0.7559), Pt at (0.0000, 0.5000, 0.5000) and Cl at (0.0000, 0.0000, 0.5000).

The size of the total moment comes out at 0.000 μB/atom. As for the uncorrected formation energy: -0.784 eV/atom. The volume is 565.6 Å³/f.u.